Record 1
A plane-wave DFT calculation with GGA-PBE was carried out for a relaxed structure of K2Ag2Bi.

a b c (Å): 7.637 7.637 5.486
angles (deg): 90.00 90.00 90.00
Fractional coordinates of all 10 atoms:
K 0.183 0.317 0.000
K 0.317 0.817 0.000
K 0.683 0.183 0.000
K 0.817 0.683 0.000
Ag 0.130 0.630 0.500
Ag 0.370 0.130 0.500
Ag 0.630 0.870 0.500
Ag 0.870 0.370 0.500
Bi 0.000 0.000 0.500
Bi 0.500 0.500 0.500

Summary:
As for the space group: P4/mbm, No. 127. For the density of states at the Fermi level, the calculation gives 0.252 states/eV/atom. As for the energy above the most stable polymorph in this dataset: 0.000 eV per atom. Its magnetic moment is 0.0 μB/cell. The energy relative to the elements comes out at -0.100 eV per atom.

Record 2
A plane-wave DFT calculation with GGA-PBE was carried out for a relaxed structure of Ba3PuAs3.

a b c (Å): 8.363 8.363 8.338
angles (deg): 93.51 93.51 113.55
Fractional coordinates of all 14 atoms:
Ba 0.172 0.828 0.000
Ba 0.230 0.770 0.500
Ba 0.381 0.381 0.146
Ba 0.619 0.619 0.854
Ba 0.770 0.230 0.500
Ba 0.828 0.172 0.000
Pu 0.207 0.207 0.623
Pu 0.793 0.793 0.377
As 0.079 0.079 0.294
As 0.165 0.485 0.786
As 0.485 0.165 0.786
As 0.515 0.835 0.214
As 0.835 0.515 0.214
As 0.921 0.921 0.706

Summary:
As for the space group: C2/m, No. 12. For the density of states at the Fermi level, the calculation gives 1.556 states/eV/atom. Its magnetic moment is 10.0 μB/cell. The energy relative to the elements comes out at -0.946 eV per atom.

Record 3
A plane-wave DFT calculation with GGA-PBE was carried out for a relaxed structure of Te2IrCl.

a b c (Å): 3.484 3.484 9.030
angles (deg): 90.00 90.00 90.00
Fractional coordinates of all 4 atoms:
Te 0.000 0.000 0.000
Te 0.500 0.500 0.401
Ir 0.500 0.500 0.116
Cl 0.000 0.000 0.720

Summary:
As for the space group: P4mm, No. 99. For the density of states at the Fermi level, the calculation gives 0.867 states/eV/atom. As for the energy above the most stable polymorph in this dataset: 0.467 eV per atom. The calculation puts the uncorrected formation energy at 0.1290 eV per atom. Its magnetic moment is 0.0 μB/cell.

Record 4
A plane-wave DFT calculation with GGA-PBE was carried out for a relaxed structure of Tb2Sm3TmBi6.

a b c (Å): 10.094 10.094 9.030
angles (deg): 102.84 102.84 25.86
Fractional coordinates of all 12 atoms:
Tb 0.166 0.166 0.333
Tb 0.834 0.834 0.667
Sm 0.167 0.167 0.833
Sm 0.500 0.500 0.500
Sm 0.833 0.833 0.167
Tm 0.500 0.500 0.000
Bi 0.001 0.001 0.244
Bi 0.332 0.332 0.419
Bi 0.336 0.336 0.915
Bi 0.664 0.664 0.085
Bi 0.668 0.668 0.581
Bi 0.999 0.999 0.756

Summary:
As for the space group: C2/m, No. 12. For the density of states at the Fermi level, the calculation gives 0.168 states/eV/atom. Its magnetic moment is 0.0 μB/cell. The energy relative to the elements comes out at -0.885 eV per atom.

Record 5
A plane-wave DFT calculation with GGA-PBE was carried out for a relaxed structure of Th2NpRh5Au.

a b c (Å): 8.044 8.044 8.044
angles (deg): 116.68 116.68 95.86
Fractional coordinates of all 18 atoms:
Th 0.136 0.636 0.773
Th 0.364 0.136 0.500
Th 0.636 0.864 0.500
Th 0.864 0.364 0.227
Np 0.250 0.250 0.000
Np 0.750 0.750 0.000
Rh 0.000 0.000 0.000
Rh 0.058 0.166 0.500
Rh 0.166 0.666 0.108
Rh 0.334 0.442 0.500
Rh 0.442 0.942 0.108
Rh 0.500 0.500 0.000
Rh 0.558 0.058 0.892
Rh 0.666 0.558 0.500
Rh 0.834 0.334 0.892
Rh 0.942 0.834 0.500
Au 0.250 0.750 0.500
Au 0.750 0.250 0.500

Summary:
As for the space group: I4/mcm, No. 140. For the density of states at the Fermi level, the calculation gives 1.744 states/eV/atom. Its magnetic moment is 7.2 μB/cell. The energy relative to the elements comes out at -0.216 eV per atom.

Record 6
A plane-wave DFT calculation with GGA-PBE was carried out for a relaxed structure of RbHSeS2.

a b c (Å): 4.432 4.432 4.882
angles (deg): 90.00 90.00 90.00
Fractional coordinates of all 5 atoms:
Rb 0.000 0.000 0.000
H 0.000 0.000 0.500
Se 0.500 0.500 0.000
S 0.000 0.500 0.500
S 0.500 0.000 0.500

Summary:
As for the space group: P4/mmm, No. 123. For the density of states at the Fermi level, the calculation gives 0.729 states/eV/atom. As for the energy above the most stable polymorph in this dataset: 0.000 eV per atom. Its magnetic moment is 0.0 μB/cell.

Record 7
A plane-wave DFT calculation with GGA-PBE was carried out for a relaxed structure of TaGaRe2.

a b c (Å): 5.744 5.744 5.744
angles (deg): 102.37 102.37 124.87
Fractional coordinates of all 8 atoms:
Ta 0.000 0.000 0.000
Ta 0.750 0.250 0.500
Ga 0.250 0.750 0.500
Ga 0.500 0.500 0.000
Re 0.128 0.625 0.003
Re 0.375 0.378 0.503
Re 0.622 0.125 0.997
Re 0.875 0.872 0.497

Summary:
As for the space group: I-42d, No. 122. For the density of states at the Fermi level, the calculation gives 1.263 states/eV/atom. Its magnetic moment is 0.0 μB/cell. The energy relative to the elements comes out at 0.839 eV per atom.

Record 8
A plane-wave DFT calculation with GGA-PBE was carried out for a relaxed structure of CuRe2P.

a b c (Å): 8.374 8.374 8.374
angles (deg): 19.31 19.31 19.31
Fractional coordinates of all 4 atoms:
Cu 0.000 0.000 0.000
Re 0.511 0.511 0.511
Re 0.756 0.756 0.756
P 0.254 0.254 0.254

Summary:
As for the space group: R3m, No. 160. For the density of states at the Fermi level, the calculation gives 0.519 states/eV/atom. Its magnetic moment is 0.0 μB/cell. The energy relative to the elements comes out at 0.137 eV per atom.

Record 9
A plane-wave DFT calculation with GGA-PBE was carried out for a relaxed structure of Sr2BeHgPt.

a b c (Å): 5.893 5.893 4.369
angles (deg): 90.00 90.00 90.00
Fractional coordinates of all 5 atoms:
Sr 0.000 0.500 0.000
Sr 0.500 0.000 0.000
Be 0.000 0.000 0.500
Hg 0.500 0.500 0.500
Pt 0.000 0.000 0.000

Summary:
As for the space group: P4/mmm, No. 123. For the density of states at the Fermi level, the calculation gives 0.759 states/eV/atom. Its magnetic moment is 0.0 μB/cell. The energy relative to the elements comes out at -0.386 eV per atom.

Record 10
A plane-wave DFT calculation with GGA-PBE was carried out for a relaxed structure of Ho8BTe3Se3.

a b c (Å): 8.487 8.487 8.487
angles (deg): 57.79 57.79 57.79
Fractional coordinates of all 15 atoms:
Ho 0.238 0.238 0.238
Ho 0.269 0.716 0.716
Ho 0.284 0.284 0.731
Ho 0.284 0.731 0.284
Ho 0.716 0.269 0.716
Ho 0.716 0.716 0.269
Ho 0.731 0.284 0.284
Ho 0.762 0.762 0.762
B 0.500 0.500 0.500
Te 0.000 0.500 0.500
Te 0.500 0.000 0.500
Te 0.500 0.500 0.000
Se 0.000 0.000 0.500
Se 0.000 0.500 0.000
Se 0.500 0.000 0.000

Summary:
As for the space group: R-3m, No. 166. For the density of states at the Fermi level, the calculation gives 0.607 states/eV/atom. The calculation puts the uncorrected formation energy at -1.2460 eV per atom. Its magnetic moment is 0.0 μB/cell.

Record 11
A plane-wave DFT calculation with GGA-PBE was carried out for a relaxed structure of La4Dy3Tm2.

a b c (Å): 6.755 6.755 14.511
angles (deg): 115.16 115.16 31.58
Fractional coordinates of all 9 atoms:
La 0.219 0.219 0.107
La 0.276 0.276 0.628
La 0.724 0.724 0.372
La 0.781 0.781 0.893
Dy 0.494 0.494 0.113
Dy 0.500 0.500 0.500
Dy 0.506 0.506 0.887
Tm 0.045 0.045 0.709
Tm 0.955 0.955 0.291

Summary:
As for the space group: C2/m, No. 12. For the density of states at the Fermi level, the calculation gives 1.576 states/eV/atom. As for the energy above the most stable polymorph in this dataset: 0.050 eV per atom. Its magnetic moment is 0.0 μB/cell. The energy relative to the elements comes out at 0.084 eV per atom.

Record 12
A plane-wave DFT calculation with GGA-PBE was carried out for a relaxed structure of Sm2ScCd.

a b c (Å): 5.415 5.415 5.415
angles (deg): 60.00 60.00 60.00
Fractional coordinates of all 4 atoms:
Sm 0.250 0.250 0.250
Sm 0.750 0.750 0.750
Sc 0.000 0.000 0.000
Cd 0.500 0.500 0.500

Summary:
As for the space group: Fm-3m, No. 225. For the density of states at the Fermi level, the calculation gives 1.316 states/eV/atom. As for the energy above the most stable polymorph in this dataset: 0.057 eV per atom. Its magnetic moment is 0.0 μB/cell. The energy relative to the elements comes out at -0.056 eV per atom.